Here is a relaxed Pm2DyHo3Er6 crystal from Alexandria via LeMat-Bulk. Energies are from PBE-GGA.

Unit cell a=6.125 b=6.125 c=11.701 alpha=94.99 beta=94.99 gamma=119.95
Fractional positions:
1 Pm 0.167 0.833 0.000
2 Pm 0.833 0.167 0.000
3 Dy 0.500 0.500 0.000
4 Ho 0.000 0.000 0.500
5 Ho 0.333 0.667 0.500
6 Ho 0.667 0.333 0.500
7 Er 0.082 0.415 0.748
8 Er 0.252 0.252 0.253
9 Er 0.415 0.082 0.748
10 Er 0.585 0.918 0.252
11 Er 0.748 0.748 0.747
12 Er 0.918 0.585 0.252

Summary:
- density of states at the Fermi level (states/eV per atom) = 1.3197
- E_form (meV per atom) = 20
- calculated density (g cm⁻³) = 8.65
- E (eV/cell) = -55.0

***

Here is a relaxed PmDy2HoEr5 crystal from Alexandria via LeMat-Bulk. Energies are from PBE-GGA.

Unit cell a=9.617 b=9.617 c=9.617 alpha=125.00 beta=125.00 gamma=81.53
Fractional positions:
1 Pm 0.250 0.250 0.000
2 Pm 0.750 0.750 0.000
3 Dy 0.113 0.613 0.725
4 Dy 0.387 0.113 0.500
5 Dy 0.613 0.887 0.500
6 Dy 0.887 0.387 0.275
7 Ho 0.250 0.750 0.500
8 Ho 0.750 0.250 0.500
9 Er 0.000 0.000 0.000
10 Er 0.073 0.162 0.500
11 Er 0.162 0.662 0.089
12 Er 0.338 0.427 0.500
13 Er 0.427 0.927 0.089
14 Er 0.500 0.500 0.000
15 Er 0.573 0.073 0.911
16 Er 0.662 0.573 0.500
17 Er 0.838 0.338 0.911
18 Er 0.927 0.838 0.500

Summary:
- density of states at the Fermi level (states/eV per atom) = 1.2479
- E_form (meV per atom) = 293
- calculated density (g cm⁻³) = 8.51
- E (eV/cell) = -77.4

***

Here is a relaxed PmDyHo2Er5 crystal from Alexandria via LeMat-Bulk. Energies are from PBE-GGA.

Unit cell a=10.213 b=10.213 c=10.516 alpha=90.00 beta=90.00 gamma=148.39
Fractional positions:
1 Pm 0.084 0.916 0.500
2 Pm 0.916 0.084 0.000
3 Dy 0.300 0.700 0.059
4 Dy 0.700 0.300 0.559
5 Ho 0.387 0.613 0.366
6 Ho 0.390 0.610 0.783
7 Ho 0.610 0.390 0.283
8 Ho 0.613 0.387 0.866
9 Er 0.021 0.979 0.784
10 Er 0.111 0.889 0.069
11 Er 0.201 0.799 0.757
12 Er 0.218 0.782 0.358
13 Er 0.482 0.518 0.072
14 Er 0.518 0.482 0.572
15 Er 0.782 0.218 0.858
16 Er 0.799 0.201 0.257
17 Er 0.889 0.111 0.569
18 Er 0.979 0.021 0.284

Summary:
- density of states at the Fermi level (states/eV per atom) = 1.5720
- E_form (meV per atom) = 161
- calculated density (g cm⁻³) = 8.51
- E (eV/cell) = -79.7

***

Here is a relaxed Pm4Dy2HoEr2 crystal from Alexandria via LeMat-Bulk. Energies are from PBE-GGA.

Unit cell a=8.012 b=8.012 c=7.999 alpha=107.48 beta=107.48 gamma=36.80
Fractional positions:
1 Pm 0.054 0.054 0.331
2 Pm 0.277 0.277 0.668
3 Pm 0.723 0.723 0.332
4 Pm 0.946 0.946 0.669
5 Dy 0.389 0.389 0.331
6 Dy 0.611 0.611 0.669
7 Ho 0.500 0.500 0.000
8 Er 0.167 0.167 0.000
9 Er 0.833 0.833 0.000

Summary:
- density of states at the Fermi level (states/eV per atom) = 1.4600
- E_form (meV per atom) = 20
- calculated density (g cm⁻³) = 7.99
- E (eV/cell) = -41.7

***

Here is a relaxed Pm5DyHo2Er crystal from Alexandria via LeMat-Bulk. Energies are from PBE-GGA.

Unit cell a=10.512 b=10.512 c=10.662 alpha=90.00 beta=90.00 gamma=148.97
Fractional positions:
1 Pm 0.016 0.984 0.500
2 Pm 0.280 0.720 0.792
3 Pm 0.298 0.702 0.188
4 Pm 0.387 0.613 0.503
5 Pm 0.482 0.518 0.224
6 Pm 0.518 0.482 0.724
7 Pm 0.613 0.387 0.003
8 Pm 0.702 0.298 0.688
9 Pm 0.720 0.280 0.292
10 Pm 0.984 0.016 0.000
11 Dy 0.199 0.801 0.492
12 Dy 0.801 0.199 0.992
13 Ho 0.112 0.888 0.220
14 Ho 0.115 0.885 0.793
15 Ho 0.885 0.115 0.293
16 Ho 0.888 0.112 0.720
17 Er 0.409 0.591 0.943
18 Er 0.591 0.409 0.443

Summary:
- density of states at the Fermi level (states/eV per atom) = 1.6017
- E_form (meV per atom) = 145
- calculated density (g cm⁻³) = 7.57
- E (eV/cell) = -81.5

***

Here is a relaxed PmDy6Ho2Er3 crystal from Alexandria via LeMat-Bulk. Energies are from PBE-GGA.

Unit cell a=6.124 b=6.124 c=11.725 alpha=94.98 beta=94.98 gamma=119.95
Fractional positions:
1 Pm 0.000 0.000 0.000
2 Dy 0.085 0.419 0.252
3 Dy 0.249 0.249 0.748
4 Dy 0.419 0.085 0.252
5 Dy 0.581 0.915 0.748
6 Dy 0.751 0.751 0.252
7 Dy 0.915 0.581 0.748
8 Ho 0.333 0.667 0.000
9 Ho 0.667 0.333 0.000
10 Er 0.167 0.833 0.500
11 Er 0.500 0.500 0.500
12 Er 0.833 0.167 0.500

Summary:
- density of states at the Fermi level (states/eV per atom) = 1.2929
- E_form (meV per atom) = 18
- calculated density (g cm⁻³) = 8.64
- E (eV/cell) = -55.0

***

Here is a relaxed Pm6Dy3HoEr2 crystal from Alexandria via LeMat-Bulk. Energies are from PBE-GGA.

Unit cell a=6.228 b=6.228 c=11.803 alpha=95.03 beta=95.03 gamma=119.99
Fractional positions:
1 Pm 0.083 0.416 0.751
2 Pm 0.250 0.250 0.249
3 Pm 0.416 0.083 0.751
4 Pm 0.584 0.917 0.249
5 Pm 0.750 0.750 0.751
6 Pm 0.917 0.584 0.249
7 Dy 0.000 0.000 0.500
8 Dy 0.333 0.667 0.500
9 Dy 0.667 0.333 0.500
10 Ho 0.500 0.500 0.000
11 Er 0.167 0.833 0.000
12 Er 0.833 0.167 0.000

Summary:
- density of states at the Fermi level (states/eV per atom) = 1.1393
- E_form (meV per atom) = 13
- calculated density (g cm⁻³) = 7.90
- E (eV/cell) = -55.9

***

Here is a relaxed PmDy2HoEr crystal from Alexandria via LeMat-Bulk. Energies are from PBE-GGA.

Unit cell a=7.084 b=7.084 c=7.185 alpha=90.00 beta=90.00 gamma=107.56
Fractional positions:
1 Pm 0.228 0.772 0.750
2 Pm 0.772 0.228 0.250
3 Dy 0.190 0.190 0.000
4 Dy 0.190 0.190 0.500
5 Dy 0.810 0.810 0.000
6 Dy 0.810 0.810 0.500
7 Ho 0.499 0.501 0.750
8 Ho 0.501 0.499 0.250
9 Er 0.223 0.777 0.250
10 Er 0.777 0.223 0.750

Summary:
- density of states at the Fermi level (states/eV per atom) = 1.4122
- E_form (meV per atom) = 393
- calculated density (g cm⁻³) = 7.75
- E (eV/cell) = -42.3